First-principles (PBE) data for Y2SbAs after structural relaxation, as listed in Alexandria.

The value obtained for the formation energy without anion corrections is -0.30 eV per atom. As for the crystal system: cubic. The total magnetization comes out at 0.000 Bohr magnetons per cell.

The structure belongs to space group F-43m (No. 216); the cell edges are 7.371, 7.371 and 7.371 Å and the angles 90.00°, 90.00° and 90.00°. The asymmetric unit holds Y at (0.000, 0.000, 0.000), Y at (0.250, 0.250, 0.250), Sb at (0.000, 0.000, 0.500) and As at (0.250, 0.250, 0.750).